GGA-PBE TcBRh, optimized geometry; E_tot = -8.23 eV/atom; ΔE_f = -0.09 eV per atom; excess energy over the best structure of this formula in the dataset = 84 meV/atom; M_tot = 0.0 μB per formula unit
1.0
2.717 0.000 0.000
0.000 2.717 0.000
-1.358 -1.358 4.653
B Rh Tc
1 1 1
Direct
0.666 0.666 0.332
0.025 0.025 0.051
0.309 0.309 0.617